# 1
This record from the Alexandria database describes a relaxed SbOF3 crystal. The functional is PBE.

## Properties
**Raw formation energy**: -9.54 eV/f.u.
**Theoretical density**: 4.1 Mg/m³
**Magnetization**: 0.000 μB per cell

The structure in CIF format:
```
data_SbOF3
_space_group_name_H-M_alt 'P -4 21 m'
_space_group_IT_number 113
_cell_length_a 9.185
_cell_length_b 9.185
_cell_length_c 3.770
_cell_angle_alpha 90.00
_cell_angle_beta 90.00
_cell_angle_gamma 90.00
loop_
_space_group_symop_operation_xyz
'x,y,z'
'y,-x,-z'
'-x,-y,z'
'-y,x,-z'
'x+1/2,-y+1/2,-z'
'y+1/2,x+1/2,z'
'-x+1/2,y+1/2,-z'
'-y+1/2,-x+1/2,z'
loop_
_atom_site_label
_atom_site_type_symbol
_atom_site_fract_x
_atom_site_fract_y
_atom_site_fract_z
Sb1 Sb 0.132 0.368 0.254
O1 O 0.111 0.389 0.754
F1 F 0.095 0.595 0.254
F2 F 0.112 0.164 0.254
```

=====

# 2
This record from the Alexandria database describes a relaxed Ag2PtPb crystal. The functional is PBE.

## Properties
**Energy relative to the elements**: 0.0605 eV per atom
**Theoretical density**: 13.0 Mg/m³
**Magnetization**: 0.000 μB per cell

The structure in CIF format:
```
data_Ag2PtPb
_space_group_name_H-M_alt 'C 1 m 1'
_space_group_IT_number 8
_cell_length_a 10.086
_cell_length_b 3.278
_cell_length_c 5.011
_cell_angle_alpha 90.00
_cell_angle_beta 107.94
_cell_angle_gamma 90.00
loop_
_space_group_symop_operation_xyz
'x,y,z'
'x,-y,z'
'x+1/2,y+1/2,z'
'x+1/2,-y+1/2,z'
loop_
_atom_site_label
_atom_site_type_symbol
_atom_site_fract_x
_atom_site_fract_y
_atom_site_fract_z
Ag1 Ag 0.000 0.000 0.000
Ag2 Ag 0.249 0.000 0.845
Pt1 Pt 0.225 0.500 0.332
Pb1 Pb 0.469 0.000 0.483
```